Entry 1:
This record from Alexandria via LeMat-Bulk describes a relaxed CaThZn2 crystal. The functional is GGA-PBE.

a = 3.632 Å, b = 3.632 Å, c = 7.542 Å
α = 90.00°, β = 90.00°, γ = 90.00°
Space group P4/mmm (No. 123)
Asymmetric unit:
Ca1 0.000 0.000 0.000 x1
Th1 0.000 0.000 0.500 x1
Zn1 0.500 0.500 0.253 x2

Summary:
Density of states at the Fermi level = 2.795 states/eV/cell
Calculated formation energy = -4.60 kcal/mol of atoms
Calculated volume = 100 Å³/cell
Size of the total moment = 0.00 μB/f.u.
Calculated total energy = -3.192 eV/atom

Entry 2:
This record from Alexandria via LeMat-Bulk describes a relaxed CaThZn crystal. The functional is GGA-PBE.

a = 3.557 Å, b = 3.557 Å, c = 13.630 Å
α = 90.00°, β = 90.00°, γ = 90.00°
Space group I4mm (No. 107)
Asymmetric unit:
Ca1 0.000 0.000 0.000 x2
Th1 0.000 0.000 0.280 x2
Zn1 0.000 0.000 0.644 x2

Summary:
Density of states at the Fermi level = 7.614 states/eV/cell
Offset from the most stable computed form = 0.000 eV per atom
Calculated formation energy = -0.64 kcal/mol of atoms
Calculated volume = 172 Å³/cell
Size of the total moment = 0.01 μB/f.u.
Calculated total energy = -3.593 eV/atom

Entry 3:
This record from Alexandria via LeMat-Bulk describes a relaxed Ca2ThZn9 crystal. The functional is GGA-PBE.

a = 5.5033 Å, b = 5.5033 Å, c = 26.0763 Å
α = 90.00°, β = 90.00°, γ = 120.00°
Space group R-3m (No. 166, hexagonal axes)
Asymmetric unit:
Ca1 0.0000 0.0000 0.1427 x6
Th1 0.0000 0.0000 0.0000 x3
Zn1 0.0000 0.0000 0.3351 x6
Zn2 0.0000 0.0000 0.5000 x3
Zn3 0.0052 0.5026 0.9183 x18

Summary:
Density of states at the Fermi level = 14.978 states/eV/cell
Calculated formation energy = -5.57 kcal/mol of atoms
Calculated volume = 684 Å³/cell
Size of the total moment = 0.00 μB/f.u.
Calculated total energy = -2.149 eV/atom

Entry 4:
This record from Alexandria via LeMat-Bulk describes a relaxed Ca3ThZn4 crystal. The functional is GGA-PBE.

a = 5.1907 Å, b = 5.1907 Å, c = 25.4309 Å
α = 90.00°, β = 90.00°, γ = 120.00°
Space group R-3m (No. 166, hexagonal axes)
Asymmetric unit:
Ca1 0.0000 0.0000 0.0000 x3
Ca2 0.0000 0.0000 0.2527 x6
Th1 0.0000 0.0000 0.5000 x3
Zn1 0.0000 0.0000 0.1263 x6
Zn2 0.0000 0.0000 0.3773 x6

Summary:
Density of states at the Fermi level = 21.291 states/eV/cell
Calculated formation energy = -4.80 kcal/mol of atoms
Calculated volume = 593 Å³/cell
Size of the total moment = 0.00 μB/f.u.
Calculated total energy = -2.523 eV/atom

Entry 5:
This record from Alexandria via LeMat-Bulk describes a relaxed CaTh4Zn5 crystal. The functional is GGA-PBE.

a = 3.670 Å, b = 3.670 Å, c = 18.392 Å
α = 90.00°, β = 90.00°, γ = 90.00°
Space group P4/mmm (No. 123)
Asymmetric unit:
Ca1 0.000 0.000 0.000 x1
Th1 0.000 0.000 0.201 x2
Th2 0.000 0.000 0.401 x2
Zn1 0.500 0.500 0.103 x2
Zn2 0.500 0.500 0.302 x2
Zn3 0.500 0.500 0.500 x1

Summary:
Density of states at the Fermi level = 7.205 states/eV/cell
Calculated formation energy = -4.16 kcal/mol of atoms
Calculated volume = 248 Å³/cell
Size of the total moment = 0.00 μB/f.u.
Calculated total energy = -3.985 eV/atom

Entry 6:
This record from Alexandria via LeMat-Bulk describes a relaxed CaThZn4 crystal. The functional is GGA-PBE.

a = 7.866 Å, b = 7.866 Å, c = 7.866 Å
α = 90.00°, β = 90.00°, γ = 90.00°
Space group F-43m (No. 216)
Asymmetric unit:
Ca1 0.000 0.000 0.000 x4
Th1 0.250 0.250 0.750 x4
Zn1 0.125 0.125 0.375 x16

Summary:
Density of states at the Fermi level = 13.434 states/eV/cell
Offset from the most stable computed form = 0.008 eV per atom
Calculated formation energy = -4.74 kcal/mol of atoms
Calculated volume = 487 Å³/cell
Size of the total moment = 0.00 μB/f.u.
Calculated total energy = -2.625 eV/atom

Entry 7:
This record from Alexandria via LeMat-Bulk describes a relaxed CaThZn crystal. The functional is GGA-PBE.

a = 4.9114 Å, b = 4.9114 Å, c = 26.8160 Å
α = 90.00°, β = 90.00°, γ = 120.00°
Space group R-3m (No. 166, hexagonal axes)
Asymmetric unit:
Ca1 0.0000 0.0000 0.1244 x6
Th1 0.0000 0.0000 0.3660 x6
Zn1 0.0000 0.0000 0.2514 x6

Summary:
Density of states at the Fermi level = 23.717 states/eV/cell
Offset from the most stable computed form = 0.163 eV per atom
Calculated formation energy = 3.12 kcal/mol of atoms
Calculated volume = 560 Å³/cell
Size of the total moment = 0.00 μB/f.u.
Calculated total energy = -3.430 eV/atom

Entry 8:
This record from Alexandria via LeMat-Bulk describes a relaxed Ca4ThZn5 crystal. The functional is GGA-PBE.

a = 3.644 Å, b = 3.644 Å, c = 18.690 Å
α = 90.00°, β = 90.00°, γ = 90.00°
Space group P4/mmm (No. 123)
Asymmetric unit:
Ca1 0.000 0.000 0.100 x2
Ca2 0.000 0.000 0.299 x2
Th1 0.000 0.000 0.500 x1
Zn1 0.500 0.500 0.000 x1
Zn2 0.500 0.500 0.199 x2
Zn3 0.500 0.500 0.400 x2

Summary:
Density of states at the Fermi level = 8.578 states/eV/cell
Calculated formation energy = -5.13 kcal/mol of atoms
Calculated volume = 248 Å³/cell
Size of the total moment = 0.00 μB/f.u.
Calculated total energy = -2.402 eV/atom